(1)
! HfGaAsO | the Open Quantum Materials Database | PBE-GGA | relaxed; values from VASP
! Space-group type: No. 26
! Relative energy among the computed polymorphs (eV/atom): 0.225
! Crystal system: orthorhombic
! Uncorrected energy (eV/atom): -6.7944
&SYSTEM
  ibrav = 0, nat = 8, ntyp = 4
/
ATOMIC_SPECIES
Hf 178.49 Hf.upf
Ga 69.72 Ga.upf
As 74.92 As.upf
O 16.00 O.upf
CELL_PARAMETERS angstrom
3.705 0.000 0.000
0.000 5.912 0.000
0.000 0.000 6.597
ATOMIC_POSITIONS angstrom
Hf 0.000 1.335 0.000
Hf 0.000 4.577 3.299
Ga 1.853 0.783 3.955
Ga 1.853 5.129 0.656
As 0.000 1.791 2.631
As 0.000 4.121 5.930
O 1.853 1.618 5.758
O 1.853 4.293 2.459

---

(2)
! Sr2ZnTcS6 | the Open Quantum Materials Database | PBE-GGA | relaxed; values from VASP
! Space-group type: No. 87
! Crystal system: tetragonal
! Uncorrected energy (eV/atom): -4.8898
&SYSTEM
  ibrav = 0, nat = 10, ntyp = 4
/
ATOMIC_SPECIES
Sr 87.62 Sr.upf
Zn 65.41 Zn.upf
Tc 98.00 Tc.upf
S 32.06 S.upf
CELL_PARAMETERS angstrom
-3.092 3.092 5.606
3.092 -3.092 5.606
3.092 3.092 -5.606
ATOMIC_POSITIONS angstrom
Sr 3.092 0.000 2.803
Sr 0.000 3.092 2.803
Zn 0.000 0.000 0.000
Tc 0.000 0.000 5.606
S 3.936 0.859 0.000
S 0.000 0.000 3.086
S 0.859 2.248 0.000
S 2.233 0.844 5.606
S 0.000 0.000 8.126
S -0.844 2.233 5.606

---

(3)
! PuNp | the Open Quantum Materials Database | PBE-GGA | relaxed; values from VASP
! Space-group type: No. 216
! Relative energy among the computed polymorphs (eV/atom): 0.000
! Crystal system: cubic
! Uncorrected energy (eV/atom): -13.3603
&SYSTEM
  ibrav = 0, nat = 2, ntyp = 2
/
ATOMIC_SPECIES
Pu 244.00 Pu.upf
Np 237.00 Np.upf
CELL_PARAMETERS angstrom
0.000 2.757 2.757
2.757 0.000 2.757
2.757 2.757 0.000
ATOMIC_POSITIONS angstrom
Pu 0.000 0.000 0.000
Np 1.378 1.378 1.378

---

(4)
! Zr4CdB3 | the Open Quantum Materials Database | PBE-GGA | relaxed; values from VASP
! Space-group type: No. 194
! Crystal system: hexagonal
! Uncorrected energy (eV/atom): -7.2403
&SYSTEM
  ibrav = 0, nat = 16, ntyp = 3
/
ATOMIC_SPECIES
Zr 91.22 Zr.upf
Cd 112.41 Cd.upf
B 10.81 B.upf
CELL_PARAMETERS angstrom
3.444 0.000 0.000
-1.722 2.983 0.000
0.000 0.000 26.919
ATOMIC_POSITIONS angstrom
Zr 0.000 0.000 4.174
Zr 0.000 0.000 9.286
Zr 0.000 0.000 17.634
Zr 0.000 0.000 22.745
Zr 0.000 1.989 1.453
Zr 0.000 1.989 12.007
Zr 1.722 0.994 14.912
Zr 1.722 0.994 25.467
Cd 0.000 1.989 6.730
Cd 1.722 0.994 20.190
B 0.000 0.000 0.000
B 0.000 0.000 13.460
B 0.000 1.989 16.393
B 0.000 1.989 23.986
B 1.722 0.994 2.933
B 1.722 0.994 10.527

---

(5)
! HoTlZnO3 | the Open Quantum Materials Database | PBE-GGA | relaxed; values from VASP
! Space-group type: No. 63
! Crystal system: orthorhombic
! Uncorrected energy (eV/atom): -5.2521
&SYSTEM
  ibrav = 0, nat = 12, ntyp = 4
/
ATOMIC_SPECIES
Ho 164.93 Ho.upf
Tl 204.38 Tl.upf
Zn 65.41 Zn.upf
O 16.00 O.upf
CELL_PARAMETERS angstrom
1.615 -7.247 0.000
1.615 7.247 0.000
0.000 0.000 8.231
ATOMIC_POSITIONS angstrom
Ho 0.000 0.000 0.000
Ho 0.000 0.000 4.115
Tl 1.615 2.631 6.173
Tl 1.615 -2.631 2.058
Zn 1.615 2.050 2.058
Zn 1.615 -2.050 6.173
O 1.615 6.558 2.058
O 1.615 5.211 4.837
O 1.615 5.211 7.509
O 1.615 -5.211 0.722
O 1.615 -5.211 3.394
O 1.615 -6.558 6.173

---

(6)
! AcNdTm | the Open Quantum Materials Database | PBE-GGA | relaxed; values from VASP
! Space-group type: No. 216
! Relative energy among the computed polymorphs (eV/atom): 0.000
! Crystal system: cubic
! Uncorrected energy (eV/atom): -3.8078
&SYSTEM
  ibrav = 0, nat = 3, ntyp = 3
/
ATOMIC_SPECIES
Ac 227.00 Ac.upf
Nd 144.24 Nd.upf
Tm 168.93 Tm.upf
CELL_PARAMETERS angstrom
0.000 4.010 4.010
4.010 0.000 4.010
4.010 4.010 0.000
ATOMIC_POSITIONS angstrom
Ac 0.000 0.000 0.000
Nd 4.010 4.010 4.010
Tm 2.005 2.005 2.005

---

(7)
! MgHgTeO | the Open Quantum Materials Database | PBE-GGA | relaxed; values from VASP
! Space-group type: No. 29
! Relative energy among the computed polymorphs (eV/atom): 0.429
! Crystal system: orthorhombic
! Uncorrected energy (eV/atom): -3.2009
&SYSTEM
  ibrav = 0, nat = 16, ntyp = 4
/
ATOMIC_SPECIES
Mg 24.30 Mg.upf
Hg 200.59 Hg.upf
Te 127.60 Te.upf
O 16.00 O.upf
CELL_PARAMETERS angstrom
6.869 0.000 0.000
0.000 8.206 0.000
0.000 0.000 6.694
ATOMIC_POSITIONS angstrom
Mg 0.264 1.549 0.000
Mg 3.171 1.549 3.347
Mg 3.698 6.657 0.000
Mg 6.605 6.657 3.347
Hg 0.780 4.948 5.978
Hg 2.655 4.948 2.631
Hg 4.214 3.259 5.978
Hg 6.090 3.259 2.631
Te 0.465 1.139 3.945
Te 2.969 1.139 0.598
Te 3.900 7.067 3.945
Te 6.404 7.067 0.598
O 0.548 4.947 3.696
O 2.887 4.947 0.349
O 3.982 3.259 3.696
O 6.321 3.259 0.349

---

(8)
! Sm2ErMg3CdIn2 | the Open Quantum Materials Database | PBE-GGA | relaxed; values from VASP
! Space-group type: No. 38
! Crystal system: orthorhombic
! Uncorrected energy (eV/atom): -3.1534
&SYSTEM
  ibrav = 0, nat = 9, ntyp = 5
/
ATOMIC_SPECIES
Sm 150.36 Sm.upf
Er 167.26 Er.upf
Mg 24.30 Mg.upf
Cd 112.41 Cd.upf
In 114.82 In.upf
CELL_PARAMETERS angstrom
4.681 0.000 0.000
0.000 6.505 3.826
0.000 -6.505 3.826
ATOMIC_POSITIONS angstrom
Sm 0.000 -3.748 3.826
Sm 0.000 3.748 3.826
Er 0.000 0.000 2.773
Mg 2.340 0.000 0.183
Mg 2.340 -1.568 5.094
Mg 2.340 1.568 5.094
Cd 0.000 0.000 5.954
In 2.340 -2.132 2.204
In 2.340 2.132 2.204

---

Which of these has the lowest uncorrected energy?
PuNp

---

Number 1 is which compound?
HfGaAsO